# 1
# MgRe2Si | Alexandria via LeMat-Bulk | PBE-GGA | relaxed
# Space group: R-3m, No. 166
# Spin magnetization (μB/f.u.): 0.000
# ΔE to the lowest computed polymorph (meV per atom): 157
# ΔE_f (raw) (eV/atom): 0.154
data_MgRe2Si
_cell_length_a 8.688
_cell_length_b 8.688
_cell_length_c 8.688
_cell_angle_alpha 18.96
_cell_angle_beta 18.96
_cell_angle_gamma 18.96
_symmetry_space_group_name_H-M 'P 1'
_symmetry_Int_Tables_number 1
loop_
_symmetry_equiv_pos_as_xyz
'x,y,z'
loop_
_atom_site_label
_atom_site_fract_x
_atom_site_fract_y
_atom_site_fract_z
Mg1 0.000 0.000 0.000
Re1 0.241 0.241 0.241
Re2 0.759 0.759 0.759
Si1 0.500 0.500 0.500

***

# 2
# MgRe2Si | Alexandria via LeMat-Bulk | PBE-GGA | relaxed
# Space group: Imm2, No. 44
# Spin magnetization (μB/f.u.): 0.000
# ΔE to the lowest computed polymorph (meV per atom): 168
# ΔE_f (raw) (eV/atom): 0.165
data_MgRe2Si
_cell_length_a 5.243
_cell_length_b 5.243
_cell_length_c 5.243
_cell_angle_alpha 146.65
_cell_angle_beta 131.10
_cell_angle_gamma 60.48
_symmetry_space_group_name_H-M 'P 1'
_symmetry_Int_Tables_number 1
loop_
_symmetry_equiv_pos_as_xyz
'x,y,z'
loop_
_atom_site_label
_atom_site_fract_x
_atom_site_fract_y
_atom_site_fract_z
Mg1 0.000 0.000 0.000
Re1 0.266 0.766 0.500
Re2 0.507 0.507 0.000
Si1 0.728 0.228 0.500

***

# 3
# MgRe2Si | Alexandria via LeMat-Bulk | PBE-GGA | relaxed
# Space group: C2/m, No. 12
# Spin magnetization (μB/f.u.): 0.000
# ΔE to the lowest computed polymorph (meV per atom): 150
# ΔE_f (raw) (eV/atom): 0.147
data_MgRe2Si
_cell_length_a 5.179
_cell_length_b 5.179
_cell_length_c 4.597
_cell_angle_alpha 116.13
_cell_angle_beta 116.13
_cell_angle_gamma 33.66
_symmetry_space_group_name_H-M 'P 1'
_symmetry_Int_Tables_number 1
loop_
_symmetry_equiv_pos_as_xyz
'x,y,z'
loop_
_atom_site_label
_atom_site_fract_x
_atom_site_fract_y
_atom_site_fract_z
Mg1 0.000 0.000 0.000
Re1 0.219 0.219 0.720
Re2 0.781 0.781 0.280
Si1 0.500 0.500 0.500

***

# 4
# MgVReSi | Alexandria via LeMat-Bulk | PBE-GGA | relaxed
# Space group: F-43m, No. 216
# Spin magnetization (μB/f.u.): 0.000
# ΔE_f (raw) (eV/atom): -0.128
data_MgVReSi
_cell_length_a 4.303
_cell_length_b 4.303
_cell_length_c 4.303
_cell_angle_alpha 60.00
_cell_angle_beta 60.00
_cell_angle_gamma 60.00
_symmetry_space_group_name_H-M 'P 1'
_symmetry_Int_Tables_number 1
loop_
_symmetry_equiv_pos_as_xyz
'x,y,z'
loop_
_atom_site_label
_atom_site_fract_x
_atom_site_fract_y
_atom_site_fract_z
Mg1 0.000 0.000 0.000
V1 0.750 0.750 0.750
Re1 0.500 0.500 0.500
Si1 0.250 0.250 0.250

***

# 5
# SmMgRe | Alexandria via LeMat-Bulk | PBE-GGA | relaxed
# Space group: Fmmm, No. 69
# Spin magnetization (μB/f.u.): 0.000
# Calculated formation energy (eV/atom): 0.3943
data_SmMgRe
_cell_length_a 10.546
_cell_length_b 10.310
_cell_length_c 4.119
_cell_angle_alpha 81.85
_cell_angle_beta 75.40
_cell_angle_gamma 22.75
_symmetry_space_group_name_H-M 'P 1'
_symmetry_Int_Tables_number 1
loop_
_symmetry_equiv_pos_as_xyz
'x,y,z'
loop_
_atom_site_label
_atom_site_fract_x
_atom_site_fract_y
_atom_site_fract_z
Sm1 0.103 0.103 0.897
Sm2 0.897 0.897 0.103
Mg1 0.250 0.250 0.250
Mg2 0.750 0.750 0.750
Re1 0.321 0.679 0.321
Re2 0.679 0.321 0.679

***

# 6
# SmMgRe4 | Alexandria via LeMat-Bulk | PBE-GGA | relaxed
# Space group: F-43m, No. 216
# Spin magnetization (μB/f.u.): 0.001
# Calculated formation energy (eV/atom): 0.0636
data_SmMgRe4
_cell_length_a 5.368
_cell_length_b 5.368
_cell_length_c 5.368
_cell_angle_alpha 60.00
_cell_angle_beta 60.00
_cell_angle_gamma 60.00
_symmetry_space_group_name_H-M 'P 1'
_symmetry_Int_Tables_number 1
loop_
_symmetry_equiv_pos_as_xyz
'x,y,z'
loop_
_atom_site_label
_atom_site_fract_x
_atom_site_fract_y
_atom_site_fract_z
Sm1 0.000 0.000 0.000
Mg1 0.250 0.250 0.250
Re1 0.126 0.625 0.625
Re2 0.625 0.126 0.625
Re3 0.625 0.625 0.126
Re4 0.625 0.625 0.625

***

Q: Among the records above, which one has the highest spin magnetization?
A: SmMgRe4

***

What did the fifth record say?
# SmMgRe | Alexandria via LeMat-Bulk | PBE-GGA | relaxed
# Space group: Fmmm, No. 69
# Spin magnetization (μB/f.u.): 0.000
# Calculated formation energy (eV/atom): 0.3943
data_SmMgRe
_cell_length_a 10.546
_cell_length_b 10.310
_cell_length_c 4.119
_cell_angle_alpha 81.85
_cell_angle_beta 75.40
_cell_angle_gamma 22.75
_symmetry_space_group_name_H-M 'P 1'
_symmetry_Int_Tables_number 1
loop_
_symmetry_equiv_pos_as_xyz
'x,y,z'
loop_
_atom_site_label
_atom_site_fract_x
_atom_site_fract_y
_atom_site_fract_z
Sm1 0.103 0.103 0.897
Sm2 0.897 0.897 0.103
Mg1 0.250 0.250 0.250
Mg2 0.750 0.750 0.750
Re1 0.321 0.679 0.321
Re2 0.679 0.321 0.679

***

Q: The highest spin magnetization belongs to which entry?
A: SmMgRe4

***

Repeat the fifth record exactly.
# SmMgRe | Alexandria via LeMat-Bulk | PBE-GGA | relaxed
# Space group: Fmmm, No. 69
# Spin magnetization (μB/f.u.): 0.000
# Calculated formation energy (eV/atom): 0.3943
data_SmMgRe
_cell_length_a 10.546
_cell_length_b 10.310
_cell_length_c 4.119
_cell_angle_alpha 81.85
_cell_angle_beta 75.40
_cell_angle_gamma 22.75
_symmetry_space_group_name_H-M 'P 1'
_symmetry_Int_Tables_number 1
loop_
_symmetry_equiv_pos_as_xyz
'x,y,z'
loop_
_atom_site_label
_atom_site_fract_x
_atom_site_fract_y
_atom_site_fract_z
Sm1 0.103 0.103 0.897
Sm2 0.897 0.897 0.103
Mg1 0.250 0.250 0.250
Mg2 0.750 0.750 0.750
Re1 0.321 0.679 0.321
Re2 0.679 0.321 0.679